Material: MnMoOs3
Method: DFT, PBE
State: relaxed

Output
Calculated volume ... 102.5 Å³/cell
Energy above the most stable polymorph in this dataset ... 1.746 eV per atom
Fermi-level density of states ... 7.41 states/eV/f.u.
Calculated total energy ... -42.88 eV/cell
Total magnetization ... 0.90 μB/atom
Energy of formation ... 10.8 eV/f.u.

Lattice parameters (Å, degrees): 4.680 4.680 4.680 90.00 90.00 90.00
Space group Pm-3m (No. 221)
Inequivalent atoms, fractional coordinates:
Mn 0.000 0.000 0.000 [1 per cell]
Mo 0.500 0.500 0.500 [1 per cell]
Os 0.000 0.500 0.500 [3 per cell]